(1)
A relaxed structure of ThNpC2. Source: Alexandria, functional GGA-PBE.

Output
* energy relative to the lowest polymorph listed for this composition: 0 meV per atom
* D(E_F): 7.670 states/eV/f.u.
* formation energy from the elements: -28 meV/atom

a b c (Å): 3.6241 3.6241 6.1858
angles (deg): 72.97 72.97 60.00
Positions (direct):
C1 0.2658 0.2658 0.2025
C2 0.7342 0.7342 0.7975
Th1 0.5000 0.5000 0.5000
Np1 0.0000 0.0000 0.0000

(2)
A relaxed structure of Dy3HgAu. Source: Alexandria, functional GGA-PBE.

Output
* energy relative to the lowest polymorph listed for this composition: 0 meV per atom
* D(E_F): 5.088 states/eV/f.u.
* formation energy from the elements: -506 meV/atom

a b c (Å): 5.1712 5.1667 10.1106
angles (deg): 90.00 75.18 90.00
Positions (direct):
Au1 0.4845 0.7500 0.6793
Au2 0.1638 0.2500 0.3207
Hg1 0.6704 0.7500 0.3076
Hg2 0.9780 0.2500 0.6924
Dy1 0.5748 0.2500 0.4987
Dy2 0.0735 0.7500 0.5013
Dy3 0.7611 0.2500 0.1262
Dy4 0.2590 0.7500 0.1304
Dy5 0.3894 0.2500 0.8696
Dy6 0.8873 0.7500 0.8738

(3)
A relaxed structure of Zn2CuW. Source: Alexandria, functional GGA-PBE.

Output
* energy relative to the lowest polymorph listed for this composition: 106 meV per atom
* D(E_F): 2.631 states/eV/f.u.
* formation energy from the elements: 210 meV/atom

a b c (Å): 5.3458 5.3458 4.9041
angles (deg): 62.01 62.01 28.02
Positions (direct):
Zn1 0.7530 0.7530 0.8386
Zn2 0.9971 0.9971 0.9105
Cu1 0.5024 0.5024 0.4020
W1 0.2475 0.2475 0.3489

(4)
A relaxed structure of LaNdSmY3. Source: Alexandria, functional GGA-PBE.

Output
* D(E_F): 12.788 states/eV/f.u.
* formation energy from the elements: 106 meV/atom

a b c (Å): 5.9734 6.4477 11.9574
angles (deg): 90.00 90.00 117.59
Positions (direct):
Sm1 0.1735 0.3471 0.2500
Sm2 0.8265 0.6529 0.7500
Y1 0.1698 0.3396 0.7500
Y2 0.6727 0.3454 0.4971
Y3 0.3273 0.6546 0.5029
Y4 0.8302 0.6604 0.2500
Y5 0.3273 0.6546 0.9971
Y6 0.6727 0.3454 0.0029
La1 0.5059 0.0117 0.7500
La2 0.4941 0.9883 0.2500
Nd1 0.0000 0.0000 0.5000
Nd2 0.0000 0.0000 0.0000

(5)
A relaxed structure of PrCuH6Ir. Source: Alexandria, functional GGA-PBE.

Output
* D(E_F): 1.145 states/eV/f.u.
* total DFT energy (no corrections): -4.526 eV per atom

a b c (Å): 4.6656 4.6655 4.3930
angles (deg): 90.00 90.00 60.00
Positions (direct):
H1 0.4937 0.4943 0.2417
H2 0.0120 0.4942 0.7583
H3 0.4942 0.4937 0.7583
H4 0.4937 0.0120 0.7583
H5 0.0120 0.4937 0.2417
H6 0.4942 0.0120 0.2417
Cu1 0.6666 0.6667 0.5000
Pr1 0.0000 0.0000 0.0000
Ir1 0.3333 0.3333 0.5000

(6)
A relaxed structure of Na2U2TeSe6. Source: Alexandria, functional GGA-PBE.

Output
* formation energy from raw total energies: -0.87 eV/atom
* D(E_F): 12.278 states/eV/f.u.

a b c (Å): 7.7093 7.7093 7.3841
angles (deg): 95.17 95.17 130.21
Positions (direct):
Se1 0.2994 0.2994 0.2643
Se2 0.7006 0.7006 0.7357
Se3 0.0437 0.4861 0.7383
Se4 0.9563 0.5139 0.2617
Se5 0.5139 0.9563 0.2617
Se6 0.4861 0.0437 0.7383
Na1 0.8639 0.1361 0.0000
Na2 0.1361 0.8639 0.0000
U1 0.3456 0.6544 0.5000
U2 0.6544 0.3456 0.5000
Te1 0.0000 0.0000 0.5000

Across the entries above, density takes the values 12.4; 11.3; 10.9; 5.7; 8.1; 5.7 g cm⁻³, respectively.